Er3Al3CuSiGe, optimized geometry, DFT PBE; VASP energy = -44.49 eV for the cell shown; SG = P-6, No. 174
1.0
6.915 0.000 0.000
-3.457 5.988 0.000
0.000 0.000 4.146
Er Al Cu Si Ge
3 3 1 1 1
direct
0.002 0.596 0.000
0.404 0.406 0.000
0.594 0.998 0.000
0.003 0.237 0.500
0.234 0.997 0.500
0.763 0.766 0.500
0.000 0.000 0.000
0.333 0.667 0.500
0.667 0.333 0.500

Li2Zn2In2CuPd, optimized geometry, DFT PBE; VASP energy = -23.16 eV for the cell shown; SG = P-4m2, No. 115
1.0
4.469 0.000 0.000
0.000 4.469 0.000
0.000 0.000 6.290
Li Zn In Cu Pd
2 2 2 1 1
direct
0.000 0.000 0.000
0.500 0.500 0.500
0.000 0.500 0.249
0.500 0.000 0.751
0.000 0.500 0.756
0.500 0.000 0.244
0.500 0.500 0.000
0.000 0.000 0.500

TmNb2, optimized geometry, DFT PBE; VASP energy = -23.94 eV for the cell shown; SG = Fd-3m, No. 227; DFT formation energy = 4.231 eV/atom; relative energy among the computed polymorphs = 4057 meV/atom
1.0
0.000 5.810 5.810
5.810 0.000 5.810
5.810 5.810 0.000
Tm Nb
2 4
direct
0.125 0.125 0.125
0.875 0.875 0.875
0.000 0.000 0.000
0.000 0.000 0.500
0.000 0.500 0.000
0.500 0.000 0.000

CoTcAs2, optimized geometry, DFT PBE; VASP energy = -99.22 eV for the cell shown; SG = F-43m, No. 216
1.0
6.174 0.000 0.000
0.000 6.174 0.000
0.000 0.000 6.174
Co Tc As
4 4 8
direct
0.000 0.000 0.000
0.000 0.500 0.500
0.500 0.000 0.500
0.500 0.500 0.000
0.250 0.250 0.750
0.250 0.750 0.250
0.750 0.250 0.250
0.750 0.750 0.750
0.000 0.000 0.500
0.000 0.500 0.000
0.250 0.250 0.250
0.250 0.750 0.750
0.500 0.000 0.000
0.500 0.500 0.500
0.750 0.250 0.750
0.750 0.750 0.250

CdBTe2, optimized geometry, DFT PBE; VASP energy = -37.60 eV for the cell shown; SG = F-43m, No. 216
1.0
7.229 0.000 0.000
0.000 7.229 0.000
0.000 0.000 7.229
Cd B Te
4 4 8
direct
0.000 0.000 0.000
0.000 0.500 0.500
0.500 0.000 0.500
0.500 0.500 0.000
0.250 0.250 0.750
0.250 0.750 0.250
0.750 0.250 0.250
0.750 0.750 0.750
0.000 0.000 0.500
0.000 0.500 0.000
0.250 0.250 0.250
0.250 0.750 0.750
0.500 0.000 0.000
0.500 0.500 0.500
0.750 0.250 0.750
0.750 0.750 0.250

Ga2Pt7, optimized geometry, DFT PBE; VASP energy = -48.85 eV for the cell shown; SG = P-3m1, No. 164
1.0
2.816 0.000 0.000
-1.408 2.439 0.000
0.000 0.000 33.355
Ga Pt
2 7
direct
0.333 0.667 0.226
0.667 0.333 0.774
0.000 0.000 0.291
0.000 0.000 0.500
0.000 0.000 0.709
0.333 0.667 0.432
0.333 0.667 0.637
0.667 0.333 0.363
0.667 0.333 0.568

SnPt17, optimized geometry, DFT PBE; VASP energy = -212.97 eV for the cell shown; SG = P2_1/m, No. 11; relative energy among the computed polymorphs = 5 meV/atom
1.0
4.812 0.000 0.000
0.000 5.581 0.000
-0.020 0.000 33.930
Sn Pt
2 34
direct
0.166 0.250 0.279
0.834 0.750 0.721
0.000 0.000 0.000
0.000 0.500 0.000
0.001 0.501 0.795
0.001 0.999 0.795
0.166 0.750 0.864
0.167 0.250 0.068
0.167 0.750 0.068
0.168 0.250 0.864
0.169 0.750 0.274
0.332 0.001 0.137
0.332 0.499 0.137
0.333 0.000 0.932
0.333 0.006 0.726
0.333 0.494 0.726
0.333 0.500 0.932
0.498 0.250 0.206
0.499 0.750 0.000
0.500 0.250 0.796
0.500 0.750 0.204
0.501 0.250 0.000
0.502 0.750 0.794
0.667 0.000 0.068
0.667 0.500 0.068
0.667 0.506 0.274
0.667 0.994 0.274
0.668 0.501 0.863
0.668 0.999 0.863
0.831 0.250 0.726
0.832 0.750 0.136
0.833 0.250 0.932
0.833 0.750 0.932
0.834 0.250 0.136
0.999 0.001 0.205
0.999 0.499 0.205

TbBiB4, optimized geometry, DFT PBE; VASP energy = -69.66 eV for the cell shown; SG = Immm, No. 71; relative energy among the computed polymorphs = 0 meV/atom
1.0
3.216 0.000 0.000
0.000 5.384 0.000
0.000 0.000 8.776
Tb Bi B
2 2 8
direct
0.000 0.000 0.000
0.500 0.500 0.500
0.000 0.000 0.500
0.500 0.500 0.000
0.000 0.325 0.260
0.000 0.325 0.740
0.000 0.675 0.260
0.000 0.675 0.740
0.500 0.175 0.240
0.500 0.175 0.760
0.500 0.825 0.240
0.500 0.825 0.760